## A
Here is a relaxed TbSm3Ho6 crystal from Alexandria via LeMat-Bulk. Energies are from GGA-PBE.

Cell and atoms, written as POSCAR:
```
TbSm3Ho6
1.0
6.241 0.000 0.000
0.000 10.825 -1.597
0.000 -3.972 10.196
Ho Sm Tb
12 6 2
direct
0.643 0.279 0.721
0.368 0.535 0.956
0.401 0.956 0.044
0.040 0.382 0.288
0.540 0.288 0.382
0.040 0.712 0.618
0.868 0.956 0.535
0.540 0.618 0.712
0.901 0.044 0.956
0.368 0.044 0.465
0.868 0.465 0.044
0.143 0.721 0.279
0.460 0.939 0.717
0.460 0.283 0.061
0.960 0.061 0.283
0.068 0.390 0.610
0.960 0.717 0.939
0.568 0.610 0.390
0.638 0.797 0.203
0.138 0.203 0.797
```

Properties
- total magnetic moment (μB/atom) = 0.000

## B
Here is a relaxed TbSm3Ho6 crystal from Alexandria via LeMat-Bulk. Energies are from GGA-PBE.

Cell and atoms, written as POSCAR:
```
TbSm3Ho6
1.0
-2.167 -5.068 -3.565
8.303 -4.570 1.450
-2.911 1.444 5.760
Sm Ho Tb
3 6 1
direct
0.931 0.303 0.862
0.069 0.697 0.138
0.000 0.000 0.000
0.561 0.691 0.628
0.934 0.309 0.372
0.362 0.078 0.724
0.066 0.691 0.628
0.638 0.922 0.276
0.439 0.309 0.372
0.500 0.500 0.000
```

Properties
- total magnetic moment (μB/atom) = 0.000

Each structure's energy above the most stable one, in kJ/mol of atoms: A 0.0; B 7.3.

## A
Here is a relaxed Tb2SmHo crystal from Alexandria via LeMat-Bulk. Energies are from GGA-PBE.

Cell and atoms, written as POSCAR:
```
Tb2SmHo
1.0
-0.415 3.462 -0.750
-1.615 -0.857 -3.062
-8.923 -0.048 4.720
Tb Sm Ho
2 1 1
direct
0.000 0.000 0.753
0.000 0.000 0.247
0.500 0.500 0.500
0.500 0.500 0.000
```

Properties
- total magnetic moment (μB/atom) = 0.000

## B
Here is a relaxed Tb2SmHo crystal from Alexandria via LeMat-Bulk. Energies are from GGA-PBE.

Cell and atoms, written as POSCAR:
```
Tb2SmHo
1.0
3.557 0.000 -0.951
-0.578 5.474 -2.162
-0.068 -0.486 6.874
Tb Ho Sm
2 1 1
direct
0.004 0.004 0.008
0.753 0.253 0.506
0.496 0.496 0.993
0.247 0.747 0.493
```

Properties
- total magnetic moment (μB/atom) = 0.000

## C
Here is a relaxed Tb2SmHo crystal from Alexandria via LeMat-Bulk. Energies are from GGA-PBE.

Cell and atoms, written as POSCAR:
```
Tb2SmHo
1.0
-2.425 -3.532 -3.741
2.917 -4.448 -2.014
-1.416 -5.278 1.577
Ho Sm Tb
1 1 2
direct
0.500 0.500 0.500
0.000 0.000 0.000
0.750 0.750 0.750
0.250 0.250 0.250
```

Properties
- total magnetic moment (μB/atom) = 0.001

Each structure's energy above the most stable one, in kJ/mol of atoms: A 0.0; B 10.3; C 12.5.

## A
Here is a relaxed Tb2SmHo crystal from Alexandria via LeMat-Bulk. Energies are from GGA-PBE.

Cell and atoms, written as POSCAR:
```
Tb2SmHo
1.0
3.589 0.000 0.000
1.795 3.108 0.000
1.795 1.036 11.545
Sm Tb Ho
1 2 1
direct
0.500 0.500 0.499
0.082 0.082 0.753
0.251 0.251 0.247
0.667 0.667 0.000
```

Properties
- total magnetic moment (μB/atom) = 0.000

## B
Here is a relaxed Tb2SmHo crystal from Alexandria via LeMat-Bulk. Energies are from GGA-PBE.

Cell and atoms, written as POSCAR:
```
Tb2SmHo
1.0
-0.751 -3.558 -3.501
3.476 -2.909 2.211
-3.575 -2.082 2.883
Sm Ho Tb
1 1 2
direct
0.500 0.500 0.500
0.500 0.000 0.000
0.000 0.500 0.000
0.000 0.000 0.500
```

Properties
- total magnetic moment (μB/atom) = 0.000

Each structure's energy above the most stable one, in kJ/mol of atoms: A 0.0; B 0.6.

## A
Here is a relaxed Tb12Sm2Ho5 crystal from Alexandria via LeMat-Bulk. Energies are from GGA-PBE.

Cell and atoms, written as POSCAR:
```
Tb12Sm2Ho5
1.0
9.216 0.000 0.000
-4.608 11.385 -1.679
0.000 -5.313 6.694
Ho Tb Sm
5 12 2
direct
0.231 0.462 0.889
0.000 0.000 0.500
0.698 0.397 0.384
0.769 0.538 0.111
0.302 0.603 0.616
0.974 0.310 0.068
0.909 0.818 0.700
0.091 0.182 0.300
0.559 0.118 0.785
0.026 0.690 0.932
0.434 0.253 0.594
0.566 0.747 0.406
0.336 0.310 0.068
0.181 0.747 0.406
0.441 0.882 0.215
0.664 0.690 0.932
0.819 0.253 0.594
0.679 0.000 0.000
0.321 0.000 0.000
```

Properties
- total magnetic moment (μB/atom) = 0.000

## B
Here is a relaxed Tb12Sm2Ho5 crystal from Alexandria via LeMat-Bulk. Energies are from GGA-PBE.

Cell and atoms, written as POSCAR:
```
Tb12Sm2Ho5
1.0
-2.829 -6.379 -0.631
9.609 -1.039 6.205
-2.172 0.133 8.328
Ho Tb Sm
5 12 2
direct
0.348 0.696 0.095
0.750 0.500 0.494
0.250 0.500 0.506
0.000 0.000 0.500
0.652 0.304 0.905
0.453 0.399 0.206
0.364 0.214 0.614
0.452 0.904 0.691
0.548 0.096 0.309
0.636 0.786 0.386
0.149 0.298 0.921
0.054 0.601 0.794
0.547 0.601 0.794
0.850 0.215 0.614
0.851 0.702 0.079
0.946 0.399 0.206
0.150 0.785 0.386
0.747 0.000 0.000
0.253 0.000 0.000
```

Properties
- total magnetic moment (μB/atom) = 0.000

Each structure's energy above the most stable one, in kJ/mol of atoms: A 0.0; B 0.7.

## A
Here is a relaxed TbSm6Ho4 crystal from Alexandria via LeMat-Bulk. Energies are from GGA-PBE.

Cell and atoms, written as POSCAR:
```
TbSm6Ho4
1.0
-4.473 4.837 0.647
-4.430 -4.393 2.216
7.103 1.156 6.600
Sm Ho Tb
6 4 1
direct
0.513 0.513 0.648
0.487 0.864 0.352
0.864 0.487 0.352
0.500 0.000 0.000
0.136 0.136 0.648
0.000 0.500 0.000
0.308 0.308 0.257
0.949 0.949 0.257
0.051 0.692 0.743
0.692 0.051 0.743
0.500 0.500 0.000
```

Properties
- total magnetic moment (μB/atom) = 0.000

## B
Here is a relaxed TbSm6Ho4 crystal from Alexandria via LeMat-Bulk. Energies are from GGA-PBE.

Cell and atoms, written as POSCAR:
```
TbSm6Ho4
1.0
5.816 0.000 0.000
-2.908 4.821 0.000
0.000 0.000 25.688
Sm Ho Tb
12 8 2
direct
0.449 0.898 0.250
0.798 0.596 0.102
0.500 0.000 0.000
0.798 0.596 0.398
0.551 0.102 0.750
0.878 0.756 0.818
0.878 0.756 0.682
0.122 0.244 0.182
0.500 0.000 0.500
0.202 0.404 0.602
0.202 0.404 0.898
0.122 0.244 0.318
0.851 0.702 0.544
0.455 0.910 0.123
0.455 0.910 0.377
0.149 0.298 0.044
0.545 0.090 0.623
0.545 0.090 0.877
0.149 0.298 0.456
0.851 0.702 0.956
0.787 0.573 0.250
0.213 0.427 0.750
```

Properties
- total magnetic moment (μB/atom) = 0.000

Each structure's energy above the most stable one, in kJ/mol of atoms: A 18.1; B 0.0.

## A
Here is a relaxed Tb3Sm2Ho crystal from Alexandria via LeMat-Bulk. Energies are from GGA-PBE.

Cell and atoms, written as POSCAR:
```
Tb3Sm2Ho
1.0
-4.325 3.528 2.231
-6.868 0.496 10.201
-1.158 8.174 9.128
Tb Sm Ho
6 4 2
direct
0.750 0.609 0.391
0.442 0.685 0.850
0.058 0.150 0.315
0.250 0.391 0.609
0.942 0.850 0.685
0.558 0.315 0.150
0.153 0.146 0.586
0.653 0.586 0.146
0.347 0.414 0.854
0.847 0.854 0.414
0.000 0.000 0.000
0.500 0.000 0.000
```

Properties
- total magnetic moment (μB/atom) = 0.000

## B
Here is a relaxed Tb3Sm2Ho crystal from Alexandria via LeMat-Bulk. Energies are from GGA-PBE.

Cell and atoms, written as POSCAR:
```
Tb3Sm2Ho
1.0
-4.816 -1.616 -2.490
6.674 -5.141 -3.145
-4.058 -1.395 8.755
Sm Ho Tb
4 2 6
direct
0.499 0.997 0.165
0.250 0.501 0.925
0.750 0.499 0.075
0.501 0.003 0.835
0.125 0.250 0.130
0.875 0.750 0.870
0.750 0.499 0.411
0.375 0.751 0.380
0.625 0.249 0.620
0.001 0.002 0.669
0.250 0.501 0.589
0.999 0.998 0.331
```

Properties
- total magnetic moment (μB/atom) = 0.000

Each structure's energy above the most stable one, in kJ/mol of atoms: A 9.3; B 0.0.

## A
Here is a relaxed TbSm2Ho7 crystal from Alexandria via LeMat-Bulk. Energies are from GGA-PBE.

Cell and atoms, written as POSCAR:
```
TbSm2Ho7
1.0
-0.555 4.203 -4.448
-4.195 -7.506 -3.748
-1.889 8.329 3.885
Ho Sm Tb
7 2 1
direct
0.999 0.401 0.601
0.500 0.300 0.201
0.001 0.599 0.399
0.500 0.500 0.000
0.999 0.201 0.801
0.001 0.799 0.199
0.500 0.700 0.799
0.500 0.900 0.600
0.500 0.100 0.400
0.000 0.000 0.000
```

Properties
- total magnetic moment (μB/atom) = 0.000

## B
Here is a relaxed TbSm2Ho7 crystal from Alexandria via LeMat-Bulk. Energies are from GGA-PBE.

Cell and atoms, written as POSCAR:
```
TbSm2Ho7
1.0
-1.651 -1.757 -2.548
1.325 -12.445 7.722
-6.727 12.390 -4.184
Ho Sm Tb
7 2 1
direct
0.500 0.345 0.148
0.500 0.500 0.500
0.500 0.655 0.852
0.500 0.148 0.345
0.000 0.185 0.815
0.000 0.815 0.185
0.500 0.852 0.655
0.500 0.292 0.708
0.500 0.708 0.292
0.000 0.000 0.000
```

Properties
- total magnetic moment (μB/atom) = 0.000

Each structure's energy above the most stable one, in kJ/mol of atoms: A 0.0; B 13.7.

## A
Here is a relaxed Tb3Sm5Ho crystal from Alexandria via LeMat-Bulk. Energies are from GGA-PBE.

Cell and atoms, written as POSCAR:
```
Tb3Sm5Ho
1.0
6.741 0.000 0.000
-3.370 10.344 -5.357
0.000 -4.183 10.779
Sm Tb Ho
10 6 2
direct
0.922 0.655 0.504
0.314 0.000 0.750
0.733 0.655 0.004
0.610 0.219 0.170
0.390 0.781 0.830
0.078 0.345 0.496
0.686 0.000 0.250
0.609 0.219 0.670
0.391 0.781 0.330
0.267 0.345 0.996
0.362 0.522 0.393
0.000 0.000 0.500
0.638 0.478 0.607
0.160 0.522 0.893
0.840 0.478 0.107
0.000 0.000 0.000
0.236 0.000 0.250
0.764 0.000 0.750
```

Properties
- total magnetic moment (μB/atom) = 0.000

## B
Here is a relaxed Tb3Sm5Ho crystal from Alexandria via LeMat-Bulk. Energies are from GGA-PBE.

Cell and atoms, written as POSCAR:
```
Tb3Sm5Ho
1.0
9.429 -0.166 1.681
2.421 9.114 1.681
5.608 4.235 9.373
Tb Sm Ho
6 10 2
direct
0.686 0.686 0.822
0.662 0.662 0.354
0.000 0.000 0.000
0.314 0.314 0.178
0.338 0.338 0.646
0.000 0.000 0.500
0.341 0.845 0.259
0.254 0.746 0.000
0.179 0.179 0.046
0.507 0.507 0.766
0.493 0.493 0.234
0.155 0.659 0.741
0.821 0.821 0.954
0.659 0.155 0.741
0.746 0.254 0.000
0.845 0.341 0.259
0.155 0.155 0.594
0.845 0.845 0.406
```

Properties
- total magnetic moment (μB/atom) = 0.000

Each structure's energy above the most stable one, in kJ/mol of atoms: A 0.0; B 31.5.

## A
Here is a relaxed Tb12SmHo7 crystal from Alexandria via LeMat-Bulk. Energies are from GGA-PBE.

Cell and atoms, written as POSCAR:
```
Tb12SmHo7
1.0
-0.651 7.627 4.107
-5.222 -4.258 5.483
7.355 -2.369 3.970
Ho Tb Sm
7 12 1
direct
0.082 0.351 0.017
0.983 0.918 0.649
0.017 0.082 0.351
0.351 0.017 0.082
0.918 0.649 0.983
0.649 0.983 0.918
0.500 0.500 0.500
0.854 0.587 0.523
0.750 0.318 0.187
0.318 0.187 0.750
0.146 0.413 0.477
0.587 0.523 0.854
0.413 0.477 0.146
0.523 0.854 0.587
0.682 0.813 0.250
0.813 0.250 0.682
0.187 0.750 0.318
0.250 0.682 0.813
0.477 0.146 0.413
0.000 0.000 0.000
```

Properties
- total magnetic moment (μB/atom) = 0.000

## B
Here is a relaxed Tb12SmHo7 crystal from Alexandria via LeMat-Bulk. Energies are from GGA-PBE.

Cell and atoms, written as POSCAR:
```
Tb12SmHo7
1.0
-9.494 2.161 -0.932
0.947 -9.044 3.602
4.216 6.391 6.087
Tb Ho Sm
12 7 1
direct
0.254 0.253 0.507
0.746 0.253 0.999
0.253 0.507 0.254
0.746 0.747 0.493
0.507 0.254 0.253
0.253 0.999 0.746
0.999 0.746 0.253
0.001 0.254 0.747
0.493 0.746 0.747
0.254 0.747 0.001
0.747 0.001 0.254
0.747 0.493 0.746
0.500 0.500 0.000
0.000 0.500 0.000
0.500 0.000 0.000
0.000 0.500 0.500
0.000 0.000 0.500
0.500 0.500 0.500
0.500 0.000 0.500
0.000 0.000 0.000
```

Properties
- total magnetic moment (μB/atom) = 0.000

Each structure's energy above the most stable one, in kJ/mol of atoms: A 0.0; B 39.3.